Run P
A relaxed structure of CsK2BiCl6. Source: Alexandria via LeMat-Bulk, functional PBE-GGA.

Calculated values
**V**: 38.1 Å³/atom
**D(E_F)**: 0.00 states/eV per atom

Geometry as POSCAR:
```
CsK2BiCl6
1.0
-4.331 3.444 5.684
-4.887 -4.374 4.461
2.092 -1.397 7.975
Cs Cl Bi K
1 6 1 2
Cartesian
-6.231 -1.559 12.801
-3.119 0.597 6.111
-3.374 -2.762 11.429
-2.096 0.590 10.785
-6.473 0.532 9.868
-5.264 -3.745 7.497
-0.916 -2.225 8.793
-2.936 -0.339 3.503
1.918 -1.360 7.819
-3.987 -1.075 8.683
```

---

Run Q
A relaxed structure of CsK2BiCl6. Source: Alexandria via LeMat-Bulk, functional PBE-GGA.

Calculated values
**V**: 33.9 Å³/atom
**D(E_F)**: 0.00 states/eV per atom

Geometry as POSCAR:
```
CsK2BiCl6
1.0
13.558 -0.003 -0.001
11.272 7.534 -0.001
1.983 0.601 13.269
Cl Cs Bi K
24 4 4 8
Cartesian
5.174 1.788 6.363
6.287 1.688 12.998
11.230 2.987 2.523
11.988 4.056 9.158
12.289 5.951 12.452
17.901 5.315 7.449
14.280 6.555 7.450
20.527 6.445 0.270
6.839 1.035 2.576
12.533 1.578 5.818
8.912 2.818 5.819
19.560 4.894 4.057
14.825 4.077 4.110
23.682 6.876 2.736
19.974 7.098 10.692
9.967 2.908 12.454
3.132 1.257 10.532
16.846 5.225 0.814
7.253 3.240 9.210
2.311 0.394 3.897
15.583 5.146 10.745
21.639 6.345 6.905
14.524 2.182 0.815
24.502 7.739 9.371
13.494 2.183 12.360
11.441 5.381 5.726
13.319 5.950 0.908
15.372 2.752 7.542
13.562 1.768 3.317
13.251 6.365 9.951
6.779 -0.001 0.000
6.627 4.068 6.634
8.366 4.118 1.834
10.235 1.524 8.469
9.710 0.344 4.064
17.557 2.725 2.569
9.256 5.409 10.699
17.103 7.789 9.204
18.448 4.015 11.433
16.578 6.609 4.799
```

---

How do the energies compare? Relative to the most stable structure, in meV/atom: run P 16; run Q 0.

---

Run P
A relaxed structure of CsBiS2Cl. Source: Alexandria via LeMat-Bulk, functional PBE-GGA.

Calculated values
**V**: 35.3 Å³/atom
**D(E_F)**: 0.41 states/eV per atom

Geometry as POSCAR:
```
CsBiS2Cl
1.0
5.448 0.000 0.000
0.000 5.448 0.000
0.000 0.000 5.948
Cl Bi Cs S
1 1 1 2
Cartesian
0.000 0.000 2.974
2.724 2.724 2.974
0.000 0.000 0.000
2.724 0.000 0.000
0.000 2.724 0.000
```

---

Run Q
A relaxed structure of CsBiS2Cl. Source: Alexandria via LeMat-Bulk, functional PBE-GGA.

Calculated values
**V**: 32.1 Å³/atom
**D(E_F)**: 0.37 states/eV per atom

Geometry as POSCAR:
```
CsBiS2Cl
1.0
-4.370 -2.598 -1.524
0.076 -2.780 4.521
-3.237 3.978 2.501
Cl Bi Cs S
1 1 1 2
Cartesian
-1.618 1.989 1.250
0.000 0.000 0.000
-3.766 -0.700 2.749
0.038 -1.390 2.260
-2.185 -1.299 -0.762
```

---

How do the energies compare? Relative to the most stable structure, in meV/atom: run P 1405; run Q 0.